Material: Ca2CrCu
Method: DFT, SCAN
State: PBEsol geometry

POSCAR file:
```
Ca2CrCu
1.0
-2.554 2.554 3.573
2.554 -2.554 3.573
2.554 2.554 -3.573
Ca Cr Cu
2 1 1
Direct
0.250 0.750 0.500
0.750 0.250 0.500
0.000 0.000 0.000
0.500 0.500 0.000
```

Results
For the volume, the calculation gives 93.23 Å³/cell. The value obtained for the size of the total moment is 5.35 μB/f.u. Its calculated formation energy is 0.2368 eV per atom. The calculation puts the final energy at -0.95481 Ry/atom. For the energy above the most stable polymorph in this dataset, the calculation gives 0.020 eV per atom.

Material: HoMn4Cu3O12
Method: DFT, SCAN
State: PBEsol geometry

POSCAR file:
```
HoMn4Cu3O12
1.0
-3.582 3.582 3.582
3.582 -3.582 3.582
3.582 3.582 -3.582
Ho Mn Cu O
1 4 3 12
Direct
0.000 0.000 0.000
0.000 0.000 0.500
0.000 0.500 0.000
0.500 0.000 0.000
0.500 0.500 0.500
0.000 0.500 0.500
0.500 0.000 0.500
0.500 0.500 0.000
0.121 0.823 0.298
0.177 0.298 0.474
0.177 0.702 0.879
0.298 0.121 0.823
0.298 0.474 0.177
0.474 0.177 0.298
0.526 0.823 0.702
0.702 0.526 0.823
0.702 0.879 0.177
0.823 0.298 0.121
0.823 0.702 0.526
0.879 0.177 0.702
```

Results
Its formation energy (no corrections) is -2.01 eV per atom. For the volume, the calculation gives 183.81 Å³/cell. The value obtained for the size of the total moment is 10.02 μB/f.u. The calculation puts the final energy at -1.03834 Ry/atom.

Material: RbMg2Cd2
Method: DFT, SCAN
State: PBEsol geometry

POSCAR file:
```
RbMg2Cd2
1.0
9.279 0.000 0.000
0.000 9.279 0.000
0.000 0.000 3.070
Rb Mg Cd
2 4 4
Direct
0.000 0.000 0.000
0.500 0.500 0.000
0.134 0.366 0.500
0.366 0.866 0.500
0.634 0.134 0.500
0.866 0.634 0.500
0.154 0.654 0.000
0.346 0.154 0.000
0.654 0.846 0.000
0.846 0.346 0.000
```

Results
For the volume, the calculation gives 264.33 Å³/cell. The value obtained for the size of the total moment is 0.00 μB/f.u. Its calculated formation energy is -0.0362 eV per atom. The calculation puts the final energy at -1.34791 Ry/atom. For the energy above the most stable polymorph in this dataset, the calculation gives 0.003 eV per atom.

Material: BaNaTeI2
Method: DFT, SCAN
State: PBEsol geometry

POSCAR file:
```
BaNaTeI2
1.0
5.697 0.000 0.000
0.000 5.697 0.000
0.000 0.000 5.796
Ba Na Te I
1 1 1 2
Direct
0.000 0.000 0.000
0.500 0.500 0.500
0.500 0.500 0.000
0.000 0.500 0.500
0.500 0.000 0.500
```

Results
Its formation energy (no corrections) is -1.13 eV per atom. For the volume, the calculation gives 188.09 Å³/cell. The value obtained for the size of the total moment is 1.00 μB/f.u. The calculation puts the final energy at -2.35389 Ry/atom.

Material: NaSn2H2
Method: DFT, SCAN
State: PBEsol geometry

POSCAR file:
```
NaSn2H2
1.0
-2.275 2.275 4.932
2.275 -2.275 4.932
2.275 2.275 -4.932
Na Sn H
1 2 2
Direct
0.000 0.000 0.000
0.250 0.750 0.500
0.750 0.250 0.500
0.244 0.244 0.000
0.756 0.756 0.000
```

Results
For the volume, the calculation gives 102.10 Å³/cell. The value obtained for the size of the total moment is 0.00 μB/f.u. The calculation puts the final energy at -1.18763 Ry/atom.

Material: CaH2Pd
Method: DFT, SCAN
State: PBEsol geometry

POSCAR file:
```
CaH2Pd
1.0
3.677 0.000 0.000
0.000 3.677 0.000
0.000 0.000 3.439
Ca H Pd
1 2 1
Direct
0.000 0.000 0.000
0.000 0.500 0.500
0.500 0.000 0.500
0.500 0.500 0.500
```

Results
For the volume, the calculation gives 46.50 Å³/cell. The value obtained for the size of the total moment is 0.00 μB/f.u. The calculation puts the final energy at -0.95241 Ry/atom.

Material: MnCuS2
Method: DFT, SCAN
State: PBEsol geometry

POSCAR file:
```
MnCuS2
1.0
1.621 0.936 6.865
-1.621 0.936 6.865
0.000 -1.872 6.865
Mn Cu S
1 1 2
Direct
0.000 0.000 0.000
0.500 0.500 0.500
0.396 0.396 0.396
0.604 0.604 0.604
```

Results
Its formation energy (no corrections) is -0.52 eV per atom. For the volume, the calculation gives 62.51 Å³/cell. The value obtained for the size of the total moment is 2.00 μB/f.u. The calculation puts the final energy at -1.00667 Ry/atom.

Material: ZnOsPt
Method: DFT, SCAN
State: PBEsol geometry

POSCAR file:
```
ZnOsPt
1.0
0.000 2.873 2.873
2.873 0.000 2.873
2.873 2.873 0.000
Zn Os Pt
1 1 1
Direct
0.000 0.000 0.000
0.750 0.750 0.750
0.250 0.250 0.250
```

Results
For the volume, the calculation gives 47.43 Å³/cell. The value obtained for the size of the total moment is 1.71 μB/f.u. Its calculated formation energy is 0.7013 eV per atom. The calculation puts the final energy at -3.76030 Ry/atom.